{"formula": "SiPtNF2", "functional": "PBE", "state": "relaxed", "dos_at_fermi_per_ev_cell": 1.91, "spacegroup": "No. 123", "magmom_total_mub_per_atom": 0.000, "polymorph_energy_mev_per_atom": 0.0, "final_energy_ev_per_cell": -25.2, "formation_energy_uncorrected_ev_per_atom": -0.33, "lattice_angstrom": [[-3.388, 1.867, 0.285], [-1.657, -2.660, -2.285], [-0.823, -1.925, 2.838]], "species": ["Si", "N", "Pt", "F", "F"], "frac_coords": [[0.000, 0.000, 0.000], [0.000, 0.000, 0.500], [0.500, 0.500, 0.500], [0.000, 0.500, 0.000], [0.500, 0.000, 0.000]]}